(1)
Computed, not measured: MoPtAu2 after structural relaxation at the PBE level of DFT.

Results
- magnetic moment (Bohr magnetons per cell) = 0.0
- N(E_F) (states/eV per cell) = 3.275
- formation enthalpy at 0 K (eV/atom) = 0.028

Geometry as extended XYZ:
```
4
Lattice="1.4343 0.8281 9.4310 -1.4343 0.8281 9.4310 0.0000 -1.6562 9.4310" Properties=species:S:1:pos:R:3 pbc="T T T"
Mo 0.0000 0.0000 0.0000
Pt 0.0000 0.0000 7.2703
Au 0.0000 0.0000 14.2548
Au 0.0000 0.0000 21.2091
```

(2)
Computed, not measured: MoPtAu after structural relaxation at the PBE level of DFT.

Results
- magnetic moment (Bohr magnetons per cell) = 0.0
- N(E_F) (states/eV per cell) = 3.041
- formation enthalpy at 0 K (eV/atom) = 0.019

Geometry as extended XYZ:
```
3
Lattice="2.8372 0.0000 0.0000 -1.4186 2.4571 0.0000 0.0000 0.0000 7.0588" Properties=species:S:1:pos:R:3 pbc="T T T"
Mo 0.0000 0.0000 0.0000
Pt 0.0000 1.6381 2.1653
Au 1.4186 0.8190 4.6573
```

(3)
Computed, not measured: Mo2PtAu after structural relaxation at the PBE level of DFT.

Results
- magnetic moment (Bohr magnetons per cell) = 0.0
- N(E_F) (states/eV per cell) = 5.465
- formation enthalpy at 0 K (eV/atom) = 0.425

Geometry as extended XYZ:
```
4
Lattice="0.0000 3.2084 3.2084 3.2084 0.0000 3.2084 3.2084 3.2084 0.0000" Properties=species:S:1:pos:R:3 pbc="T T T"
Mo 1.6042 1.6042 1.6042
Mo 4.8125 4.8125 4.8125
Pt 0.0000 0.0000 0.0000
Au 3.2084 3.2084 3.2084
```

(4)
Computed, not measured: MoPtAu2 after structural relaxation at the PBE level of DFT.

Results
- magnetic moment (Bohr magnetons per cell) = 0.0
- N(E_F) (states/eV per cell) = 2.791
- formation enthalpy at 0 K (eV/atom) = 0.213

Geometry as extended XYZ:
```
4
Lattice="-1.4117 2.4550 4.9855 1.4117 -2.4550 4.9855 1.4117 2.4550 -4.9855" Properties=species:S:1:pos:R:3 pbc="T T T"
Mo 0.0000 0.0000 0.0000
Pt 1.4117 0.0000 2.1799
Au 0.0000 0.0000 4.6837
Au 0.0000 2.4550 2.4169
```

> Which of these has the lowest N(E_F)?

number 4